The following is a GGA-PBE calculation of crystalline Rb2UGeS5 at its relaxed geometry, from Alexandria.

Results
Uncorrected formation energy in eV per atom: -1.039
Raw total energy in eV per atom: -5.314
Density in g/cm3: 3.799

Unit cell a=9.6976 b=9.6976 c=14.1052 alpha=90.00 beta=90.00 gamma=154.97
Closest atoms and distances in Å follow each position.
Positions (direct):
1 Rb 0.1167 0.8833 0.5000  5 S 3.36-3.54
2 Rb 0.1273 0.8727 0.1481  7 S 3.34-3.70
3 Rb 0.8727 0.1273 0.6481  7 S 3.34-3.70
4 Rb 0.8833 0.1167 0.0000  5 S 3.36-3.54
5 U 0.1998 0.8002 0.8482  3 S 2.45-2.67
6 U 0.8002 0.1998 0.3482  3 S 2.45-2.67
7 Ge 0.4397 0.5603 0.2503  4 S 2.16-2.41
8 Ge 0.5603 0.4397 0.7503  4 S 2.16-2.41
9 S 0.0528 0.9472 0.8334  2 Ge 2.41
10 S 0.3018 0.6982 0.4645  2 U 2.67
11 S 0.3154 0.6846 0.2203  1 Ge 2.39
12 S 0.3282 0.6718 0.8271  1 U 2.45
13 S 0.4923 0.5077 0.1141  1 Ge 2.16
14 S 0.5077 0.4923 0.6141  1 Ge 2.16
15 S 0.6718 0.3282 0.3271  1 U 2.45
16 S 0.6846 0.3154 0.7203  1 Ge 2.39
17 S 0.6982 0.3018 0.9645  2 U 2.67
18 S 0.9472 0.0528 0.3334  2 Ge 2.41